{
  "formula": "ZnMoSe2",
  "functional": "PBE",
  "state": "optimized geometry",
  "m_tot_mub_per_fu": 2.3,
  "e_form_raw_ev_per_atom": 0.6614,
  "spacegroup": "F-43m, No. 216",
  "total_energy_ev_per_atom": -4.11,
  "mass_density_g_cm3": 7.20,
  "lattice": [[0.0000, 3.3262, 3.3262], [3.3262, 0.0000, 3.3262], [3.3262, 3.3262, 0.0000]],
  "species": ["Zn", "Mo", "Se", "Se"],
  "frac_coords": [[0.0000, 0.0000, 0.0000], [0.7500, 0.7500, 0.7500], [0.2500, 0.2500, 0.2500], [0.5000, 0.5000, 0.5000]]
}



{
  "formula": "CePuGeOs",
  "functional": "PBE",
  "state": "optimized geometry",
  "m_tot_mub_per_fu": 5.7,
  "spacegroup": "Amm2, No. 38",
  "total_energy_ev_per_atom": -9.36,
  "mass_density_g_cm3": 12.01,
  "e_form_ev_per_atom": -0.3288,
  "lattice": [[4.0622, 0.0000, 0.0000], [0.0000, 2.0825, 5.2865], [0.0000, -2.0825, 5.2865]],
  "species": ["Ce", "Pu", "Ge", "Os"],
  "frac_coords": [[0.0000, 0.0000, 0.0000], [0.5000, 0.2844, 0.2844], [0.0000, 0.7095, 0.7095], [0.5000, 0.5533, 0.5533]]
}